Here is a relaxed Ho2Tm3Se4 crystal from Alexandria. Energies are from PBE.

a = 6.8008 Å, b = 3.9271 Å, c = 16.5914 Å
α = 90.00°, β = 90.02°, γ = 90.00°
Closest atoms and distances in Å follow each position.
Space group C2/m (No. 12)
Asymmetric unit:
Ho: 0.1671 0.0000 0.2083 x4  6 Se 2.84-2.87
Tm: 0.0000 0.5000 0.0000 x2  6 Se 2.83
Tm: 0.1661 0.0000 0.5813 x4  3 Se 2.88
Se: 0.0006 0.5000 0.3117 x4  3 Ho 2.84, 3 Tm 2.88
Se: 0.1664 0.0000 0.8976 x4  3 Tm 2.83, 3 Ho 2.87

The density comes out at 8.6 g/cm³. As for the total energy: -5.55 eV per atom. Its density of states at the Fermi level is 5.7 states/eV/f.u.

=====

Here is a relaxed Ho2Tm3Se6 crystal from Alexandria. Energies are from PBE.

a = 6.9718 Å, b = 12.0161 Å, c = 6.9507 Å
α = 90.00°, β = 109.48°, γ = 90.00°
Closest atoms and distances in Å follow each position.
Space group C2/m (No. 12)
Asymmetric unit:
Ho: 0.0000 0.1648 0.0000 x4  6 Se 2.83-2.87
Tm: 0.0000 0.0000 0.5000 x2  6 Se 2.82-2.89
Tm: 0.0000 0.3340 0.5000 x4  6 Se 2.82-2.87
Se: 0.2438 0.5000 0.7525 x4  3 Tm 2.82-2.89, 2 Ho 2.83
Se: 0.2470 0.3360 0.2500 x8  3 Tm 2.82-2.87, 2 Ho 2.86-2.87

The density comes out at 7.9 g/cm³. As for the total energy: -5.78 eV per atom. Its density of states at the Fermi level is 4.2 states/eV/f.u.

=====

Here is a relaxed Ho2Tm2Se5 crystal from Alexandria. Energies are from PBE.

a = 17.2731 Å, b = 3.8985 Å, c = 7.3410 Å
α = 90.00°, β = 92.32°, γ = 90.00°
Closest atoms and distances in Å follow each position.
Space group C2/m (No. 12)
Asymmetric unit:
Ho: 0.0273 0.0000 0.2811 x4  7 Se 2.86-3.07
Tm: 0.1581 0.5000 0.9101 x4  5 Se 2.74-2.84
Se: 0.0000 0.5000 0.0000 x2  2 Tm 2.84, 4 Ho 2.86
Se: 0.0910 0.5000 0.5651 x4  1 Tm 2.74, 2 Ho 3.03
Se: 0.1864 0.0000 0.1735 x4  3 Tm 2.78, 1 Ho 2.89

The density comes out at 7.1 g/cm³. As for the total energy: -5.58 eV per atom. Its density of states at the Fermi level is 2.9 states/eV/f.u.

=====

Here is a relaxed HoTm4Se5 crystal from Alexandria. Energies are from PBE.

a = 8.9839 Å, b = 8.9839 Å, c = 5.7034 Å
α = 90.00°, β = 90.00°, γ = 90.00°
Closest atoms and distances in Å follow each position.
Space group I4/m (No. 87)
Asymmetric unit:
Ho: 0.0000 0.0000 0.0000 x2  6 Se 2.85-2.87
Tm: 0.1016 0.2982 0.5000 x8  6 Se 2.83-2.85
Se: 0.0000 0.0000 0.5000 x2  4 Tm 2.83, 2 Ho 2.85
Se: 0.0996 0.3030 0.0000 x8  5 Tm 2.83-2.85, 1 Ho 2.87

The density comes out at 8.9 g/cm³. As for the total energy: -5.66 eV per atom. Its density of states at the Fermi level is 4.7 states/eV/f.u.

=====

Here is a relaxed Ho2TmSe crystal from Alexandria. Energies are from PBE.

a = 3.7615 Å, b = 3.7615 Å, c = 27.9160 Å
α = 90.00°, β = 90.00°, γ = 120.00°
Closest atoms and distances in Å follow each position.
Space group R3m (No. 160, hexagonal axes)
Asymmetric unit:
Ho: 0.0000 0.0000 0.0000 x3  3 Se 2.86
Ho: 0.0000 0.0000 0.2000 x3  3 Se 2.86
Tm: 0.0000 0.0000 0.4327 x3  6 Ho 3.52-3.55, 6 Tm 3.76
Se: 0.0000 0.0000 0.5998 x3  6 Ho 2.86

The density comes out at 8.4 g/cm³. As for the total energy: -5.08 eV per atom. The calculation puts the energy above the lowest structure with this stoichiometry at 0 meV per atom. Its density of states at the Fermi level is 4.1 states/eV/f.u.

=====

Here is a relaxed Ho3TmSe4 crystal from Alexandria. Energies are from PBE.

a = 7.0431 Å, b = 8.0005 Å, c = 7.0325 Å
α = 90.00°, β = 109.20°, γ = 90.00°
Closest atoms and distances in Å follow each position.
Space group P2/c (No. 13)
Asymmetric unit:
Ho: 0.0000 0.1242 0.2500 x2  6 Se 2.87-2.88
Ho: 0.0000 0.3742 0.7500 x2  6 Se 2.85-2.88
Ho: 0.5000 0.1244 0.7500 x2  6 Se 2.85-2.87
Tm: 0.5000 0.3742 0.2500 x2  6 Se 2.84-2.85
Se: 0.2513 0.1264 0.0015 x4  1 Tm 2.84, 5 Ho 2.85-2.87
Se: 0.2527 0.3765 0.4998 x4  2 Tm 2.84-2.85, 4 Ho 2.86-2.88

The density comes out at 8.7 g/cm³. As for the total energy: -5.72 eV per atom. The calculation puts the energy above the lowest structure with this stoichiometry at 0 meV per atom. Its density of states at the Fermi level is 3.4 states/eV/f.u.

=====

Here is a relaxed HoTm3Se6 crystal from Alexandria. Energies are from PBE.

a = 7.1156 Å, b = 7.1156 Å, c = 19.2937 Å
α = 90.00°, β = 90.00°, γ = 120.00°
Closest atoms and distances in Å follow each position.
Space group R3 (No. 146, hexagonal axes)
Asymmetric unit:
Ho: 0.0000 0.0000 0.0000 x3  6 Se 2.83-2.90
Tm: 0.0000 0.0000 0.3050 x3  6 Se 2.81-2.87
Tm: 0.0000 0.0000 0.4991 x3  6 Se 2.81-2.87
Tm: 0.0000 0.0000 0.8056 x3  6 Se 2.81-2.87
Se: 0.0009 0.6930 0.9017 x9  3 Tm 2.81-2.87, 1 Ho 2.90
Se: 0.0037 0.3072 0.4021 x9  3 Tm 2.81-2.87, 1 Ho 2.83

The density comes out at 6.7 g/cm³. As for the total energy: -5.73 eV per atom. The calculation puts the energy above the lowest structure with this stoichiometry at 0 meV per atom. Its density of states at the Fermi level is 0.0 states/eV/f.u.

=====

Here is a relaxed Ho4TmSe5 crystal from Alexandria. Energies are from PBE.

a = 4.0401 Å, b = 4.0401 Å, c = 28.7412 Å
α = 90.00°, β = 90.00°, γ = 90.00°
Closest atoms and distances in Å follow each position.
Space group I4/mmm (No. 139)
Asymmetric unit:
Ho: 0.0000 0.0000 0.1022 x4  6 Se 2.86-2.94
Ho: 0.0000 0.0000 0.3039 x4  6 Se 2.83-2.92
Tm: 0.0000 0.0000 0.5000 x2  6 Se 2.81-2.86
Se: 0.0000 0.0000 0.0000 x2  4 Tm 2.86, 2 Ho 2.94
Se: 0.0000 0.0000 0.2024 x4  6 Ho 2.86-2.92
Se: 0.0000 0.0000 0.4023 x4  1 Tm 2.81, 5 Ho 2.83-2.86

The density comes out at 8.7 g/cm³. As for the total energy: -5.73 eV per atom. Its density of states at the Fermi level is 4.2 states/eV/f.u.

=====

Here is a relaxed Ho2TmSe crystal from Alexandria. Energies are from PBE.

a = 3.5777 Å, b = 3.5777 Å, c = 8.4043 Å
α = 90.00°, β = 90.00°, γ = 90.00°
Closest atoms and distances in Å follow each position.
Space group P4/mmm (No. 123)
Asymmetric unit:
Ho: 0.0000 0.0000 0.2107 x2  4 Se 3.09
Tm: 0.5000 0.5000 0.5000 x1  8 Ho 3.51, 4 Tm 3.58
Se: 0.5000 0.5000 0.0000 x1  8 Ho 3.09

The density comes out at 8.9 g/cm³. As for the total energy: -4.96 eV per atom. The calculation puts the energy above the lowest structure with this stoichiometry at 123 meV per atom. Its density of states at the Fermi level is 4.0 states/eV/f.u.

=====

Here is a relaxed HoTm3Se4 crystal from Alexandria. Energies are from PBE.

a = 6.9923 Å, b = 8.0122 Å, c = 6.9750 Å
α = 90.00°, β = 109.18°, γ = 90.00°
Closest atoms and distances in Å follow each position.
Space group P2/c (No. 13)
Asymmetric unit:
Ho: 0.0000 0.1240 0.2500 x2  6 Se 2.86-2.87
Tm: 0.0000 0.3738 0.7500 x2  6 Se 2.84-2.85
Tm: 0.5000 0.1242 0.7500 x2  6 Se 2.83-2.85
Tm: 0.5000 0.3740 0.2500 x2  6 Se 2.83-2.85
Se: 0.2511 0.3765 0.5014 x4  5 Tm 2.84-2.85, 1 Ho 2.87
Se: 0.2529 0.1264 0.0000 x4  4 Tm 2.83-2.84, 2 Ho 2.86

The density comes out at 8.9 g/cm³. As for the total energy: -5.67 eV per atom. The calculation puts the energy above the lowest structure with this stoichiometry at 0 meV per atom. Its density of states at the Fermi level is 3.6 states/eV/f.u.

=====

Here is a relaxed Ho3Tm5Se8 crystal from Alexandria. Energies are from PBE.

a = 8.0652 Å, b = 8.0652 Å, c = 19.7409 Å
α = 90.00°, β = 90.00°, γ = 120.00°
Closest atoms and distances in Å follow each position.
Space group R-3m (No. 166, hexagonal axes)
Asymmetric unit:
Ho: 0.0000 0.5000 0.0000 x9  6 Se 2.87
Tm: 0.0000 0.0000 0.0000 x3  6 Se 2.85
Tm: 0.0000 0.0000 0.5000 x3  6 Se 2.85
Tm: 0.0000 0.5000 0.5000 x9  6 Se 2.84
Se: 0.0000 0.0000 0.2486 x6  3 Tm 2.84, 3 Ho 2.87
Se: 0.0018 0.5009 0.7509 x18  4 Tm 2.84-2.85, 2 Ho 2.87

The density comes out at 8.8 g/cm³. As for the total energy: -5.68 eV per atom. Its density of states at the Fermi level is 10.5 states/eV/f.u.

=====

Here is a relaxed Ho3TmSe6 crystal from Alexandria. Energies are from PBE.

a = 7.1502 Å, b = 7.1502 Å, c = 19.3609 Å
α = 90.00°, β = 90.00°, γ = 120.00°
Closest atoms and distances in Å follow each position.
Space group R3 (No. 146, hexagonal axes)
Asymmetric unit:
Ho: 0.0000 0.0000 0.0000 x3  6 Se 2.83-2.89
Ho: 0.0000 0.0000 0.1951 x3  6 Se 2.83-2.90
Ho: 0.0000 0.0000 0.4994 x3  6 Se 2.83-2.89
Tm: 0.0000 0.0000 0.6942 x3  6 Se 2.81-2.87
Se: 0.0283 0.3579 0.7642 x9  1 Tm 2.81, 3 Ho 2.83-2.90
Se: 0.0291 0.6675 0.2645 x9  3 Ho 2.83-2.89, 1 Tm 2.87

The density comes out at 6.6 g/cm³. As for the total energy: -5.76 eV per atom. The calculation puts the energy above the lowest structure with this stoichiometry at 0 meV per atom. Its density of states at the Fermi level is 0.0 states/eV/f.u.

=====

| no. | M_tot (μB per atom) | volume (Å³ per cell) | ΔE_f (raw) (eV/atom) |
| --- | --- | --- | --- |
| 1 | 0.00 | 443.12 | -1.4951 |
| 2 | 0.00 | 548.94 | -1.8255 |
| 3 | 0.00 | 493.94 | -1.6362 |
| 4 | 0.00 | 460.33 | -1.6689 |
| 5 | 0.07 | 342.06 | -0.8003 |
| 6 | 0.00 | 374.23 | -1.7071 |
| 7 | 0.00 | 845.98 | -1.8404 |
| 8 | 0.00 | 469.14 | -1.7069 |
| 9 | 0.00 | 107.57 | -0.6776 |
| 10 | 0.00 | 369.06 | -1.6748 |
| 11 | 0.00 | 1112.05 | -1.6773 |
| 12 | 0.00 | 857.22 | -1.8463 |